DFT (GGA-PBE) results for crystalline VCrW2 at its relaxed geometry.

abc: 3.056 3.056 6.125
angles: 90.00 90.00 90.00
Fractional coordinates of all 4 atoms:
W1 0.000 0.000 0.754
W2 0.000 0.000 0.246
V1 0.500 0.500 0.500
Cr1 0.500 0.500 0.000

Properties
Offset from the most stable computed form = 8 meV per atom
Calculated density = 13.66 Mg/m³
Formation energy = -0.04 eV/atom
E_tot = -11.20 eV/atom

=====

DFT (GGA-PBE) results for crystalline V6CrW at its relaxed geometry.

abc: 5.334 5.334 5.334
angles: 110.80 110.80 110.80
Fractional coordinates of all 8 atoms:
V1 0.743 0.252 0.252
V2 0.257 0.748 0.748
V3 0.252 0.252 0.743
V4 0.748 0.748 0.257
V5 0.252 0.743 0.252
V6 0.748 0.257 0.748
W1 0.000 0.000 0.000
Cr1 0.500 0.500 0.500

Properties
Offset from the most stable computed form = 192 meV per atom
Calculated density = 8.12 Mg/m³
Formation energy = 0.17 eV/atom
E_tot = -9.49 eV/atom

=====

DFT (GGA-PBE) results for crystalline VCr2W2 at its relaxed geometry.

abc: 2.920 2.894 8.548
angles: 80.25 90.00 90.00
Fractional coordinates of all 5 atoms:
Cr1 0.500 0.413 0.174
Cr2 0.500 0.587 0.826
W1 0.000 0.181 0.638
W2 0.000 0.819 0.362
V1 0.000 0.000 0.000

Properties
Calculated density = 12.19 Mg/m³
Formation energy = 0.33 eV/atom
E_tot = -10.53 eV/atom

=====

DFT (GGA-PBE) results for crystalline V15Cr4W at its relaxed geometry.

abc: 4.204 4.204 14.892
angles: 90.00 90.00 90.00
Fractional coordinates of all 20 atoms:
V1 0.500 0.000 0.500
V2 0.000 0.500 0.697
V3 0.500 0.500 0.203
V4 0.500 0.000 0.697
V5 0.000 0.500 0.895
V6 0.000 0.500 0.500
V7 0.500 0.500 0.797
V8 0.500 0.000 0.895
V9 0.000 0.500 0.303
V10 0.000 0.500 0.105
V11 0.500 0.500 0.599
V12 0.500 0.500 0.000
V13 0.500 0.500 0.401
V14 0.500 0.000 0.303
V15 0.500 0.000 0.105
W1 0.000 0.000 0.000
Cr1 0.000 0.000 0.796
Cr2 0.000 0.000 0.204
Cr3 0.000 0.000 0.401
Cr4 0.000 0.000 0.599

Properties
Calculated density = 7.29 Mg/m³
Formation energy = -0.03 eV/atom
E_tot = -9.44 eV/atom

=====

DFT (GGA-PBE) results for crystalline V7Cr2W3 at its relaxed geometry.

abc: 4.233 4.270 10.055
angles: 102.09 90.00 90.00
Fractional coordinates of all 12 atoms:
W1 0.500 0.341 0.684
W2 0.500 0.500 0.000
W3 0.500 0.659 0.316
V1 0.000 0.272 0.544
V2 0.000 0.728 0.456
V3 0.000 0.000 0.000
V4 0.000 0.580 0.159
V5 0.000 0.420 0.841
V6 0.500 0.921 0.843
V7 0.500 0.079 0.157
Cr1 0.000 0.147 0.291
Cr2 0.000 0.853 0.709

Properties
Calculated density = 9.46 Mg/m³
Formation energy = 0.41 eV/atom
E_tot = -9.75 eV/atom

=====

DFT (GGA-PBE) results for crystalline V8CrW2 at its relaxed geometry.

abc: 4.340 6.993 6.857
angles: 124.94 108.45 90.00
Fractional coordinates of all 11 atoms:
V1 0.562 0.737 0.124
V2 0.684 0.446 0.368
V3 0.954 0.770 0.908
V4 0.802 0.904 0.604
V5 0.316 0.554 0.632
V6 0.046 0.230 0.092
V7 0.198 0.096 0.396
V8 0.438 0.263 0.876
Cr1 0.500 0.000 0.000
W1 0.146 0.675 0.291
W2 0.854 0.325 0.709

Properties
Offset from the most stable computed form = 0 meV per atom
Calculated density = 8.73 Mg/m³
Formation energy = 0.24 eV/atom
E_tot = -9.62 eV/atom

=====

Which value of calculated density does entry 5 give?
9.46 Mg/m³

=====

What is the formula in the fourth record?
V15Cr4W